1.
## CsSr3V (GGA-PBE)

Data for a relaxed structure of CsSr3V.

Computed properties:
E above lowest polymorph = 0.00 eV per formula unit
calculated formation energy = 0.78 eV per atom

Unit cell a=6.2717 b=6.2717 c=6.2717 alpha=90.00 beta=90.00 gamma=90.00
Closest atoms and distances in Å follow each position.
Space group Pm-3m (No. 221)
Unique sites:
Cs 0.0000 0.0000 0.0000 [1 per cell]  12 Sr 4.43
Sr 0.0000 0.5000 0.5000 [3 per cell]  2 V 3.14
V 0.5000 0.5000 0.5000 [1 per cell]  6 Sr 3.14

***

2.
## La2Mg2Cd (GGA-PBE)

Data for a relaxed structure of La2Mg2Cd.

Computed properties:
E above lowest polymorph = 0.23 eV per formula unit
calculated formation energy = -0.12 eV per atom

Unit cell a=7.4328 b=7.4328 c=5.2848 alpha=90.00 beta=90.00 gamma=90.00
Closest atoms and distances in Å follow each position.
Space group P4/mbm (No. 127)
Unique sites:
La 0.1618 0.3382 0.0000 [4 per cell]  6 Mg 3.36-3.47, 1 La 3.40
Mg 0.1408 0.6408 0.5000 [4 per cell]  2 Cd 2.87, 1 Mg 2.96
Cd 0.0000 0.0000 0.5000 [2 per cell]  4 Mg 2.87

***

3.
## Ho6Er2Th3 (GGA-PBE)

Data for a relaxed structure of Ho6Er2Th3.

Computed properties:
calculated formation energy = 0.17 eV per atom

Unit cell a=6.1487 b=10.6632 c=11.1507 alpha=90.00 beta=90.13 gamma=90.00
Closest atoms and distances in Å follow each position.
Space group C2/m (No. 12)
Unique sites:
Ho 0.1641 0.1654 0.2506 [8 per cell]  3 Th 3.45-3.46, 2 Er 3.47-3.48, 6 Ho 3.53-3.57
Ho 0.1676 0.5000 0.2513 [4 per cell]  3 Th 3.44-3.45, 2 Er 3.47, 6 Ho 3.53-3.57
Er 0.0000 0.3337 0.0000 [4 per cell]  6 Ho 3.47-3.48, 3 Er 3.55-3.56
Th 0.0000 0.0000 0.5000 [2 per cell]  6 Ho 3.44-3.45, 6 Th 3.55
Th 0.0000 0.3332 0.5000 [4 per cell]  6 Ho 3.45-3.46, 6 Th 3.55-3.56

***

4.
## Pm6Tl3Hg (GGA-PBE)

Data for a relaxed structure of Pm6Tl3Hg.

Computed properties:
E above lowest polymorph = 0.82 eV per formula unit
calculated formation energy = -0.22 eV per atom

Unit cell a=11.7585 b=3.8390 c=14.8077 alpha=90.00 beta=108.57 gamma=90.00
Closest atoms and distances in Å follow each position.
Space group P2_1/m (No. 11)
Unique sites:
Pm 0.0021 0.2500 0.1688 [2 per cell]  3 Tl 3.20-3.42, 3 Pm 3.47-3.53
Pm 0.0975 0.7500 0.4087 [2 per cell]  4 Tl 3.22-3.33
Pm 0.2463 0.2500 0.8369 [2 per cell]  2 Hg 3.16, 3 Tl 3.27-3.38, 2 Pm 3.47
Pm 0.3180 0.2500 0.2587 [2 per cell]  1 Hg 3.23, 3 Tl 3.24-3.42, 1 Pm 3.53
Pm 0.3588 0.2500 0.6159 [2 per cell]  2 Hg 3.21, 5 Tl 3.27-3.40
Pm 0.3931 0.7500 0.0498 [2 per cell]  2 Hg 3.12, 2 Tl 3.34
Tl 0.1344 0.7500 0.6408 [2 per cell]  7 Pm 3.22-3.38, 1 Hg 3.61
Tl 0.1523 0.2500 0.0224 [2 per cell]  7 Pm 3.20-3.42
Tl 0.3858 0.7500 0.4449 [2 per cell]  6 Pm 3.24-3.40, 2 Tl 3.28
Hg 0.4397 0.7500 0.7992 [2 per cell]  7 Pm 3.12-3.23

***

5.
## LiPmSmGa (GGA-PBE)

Data for a relaxed structure of LiPmSmGa.

Computed properties:
calculated formation energy = -0.30 eV per atom

Unit cell a=7.3704 b=7.3704 c=7.3704 alpha=90.00 beta=90.00 gamma=90.00
Closest atoms and distances in Å follow each position.
Space group F-43m (No. 216)
Unique sites:
Li 0.0000 0.0000 0.0000 [4 per cell]  4 Pm 3.19, 4 Sm 3.19
Pm 0.2500 0.2500 0.7500 [4 per cell]  4 Li 3.19, 4 Ga 3.19
Sm 0.2500 0.2500 0.2500 [4 per cell]  4 Li 3.19, 4 Ga 3.19
Ga 0.0000 0.0000 0.5000 [4 per cell]  4 Pm 3.19, 4 Sm 3.19

***

6.
## Sm4GeS7 (GGA-PBE)

Data for a relaxed structure of Sm4GeS7.

Computed properties:
VASP energy = -6.091 eV/atom

Unit cell a=13.0278 b=3.9126 c=11.7568 alpha=90.00 beta=105.27 gamma=90.00
Closest atoms and distances in Å follow each position.
Space group Cm (No. 8)
Unique sites:
Sm 0.0000 0.0000 0.0000 [2 per cell]  6 S 2.76-2.85
Sm 0.0626 0.5000 0.3526 [2 per cell]  7 S 2.78-3.10
Sm 0.1729 0.0000 0.7557 [2 per cell]  7 S 2.80-3.00
Sm 0.3672 0.5000 0.5675 [2 per cell]  6 S 2.75-2.81
Ge 0.2760 0.5000 0.1593 [2 per cell]  3 S 2.46-2.74
S 0.0277 0.5000 0.6119 [2 per cell]  4 Sm 2.81-2.93
S 0.1135 0.5000 0.9130 [2 per cell]  4 Sm 2.80-2.93, 1 Ge 3.10
S 0.1515 0.0000 0.2176 [2 per cell]  2 Ge 2.74, 3 Sm 2.79-2.94
S 0.2086 0.0000 0.5140 [2 per cell]  5 Sm 2.79-3.02
S 0.3318 0.5000 0.7888 [2 per cell]  4 Sm 2.76-2.85
S 0.4053 0.0000 0.1041 [2 per cell]  3 Sm 2.76-3.10, 2 Ge 2.77
S 0.4106 0.5000 0.3509 [2 per cell]  1 Ge 2.46, 1 Sm 2.75

***

7.
## Nd2ZnSn3Pt4 (GGA-PBE)

Data for a relaxed structure of Nd2ZnSn3Pt4.

Computed properties:
calculated formation energy = -0.82 eV per atom

Unit cell a=4.5219 b=4.5219 c=10.7267 alpha=90.00 beta=90.00 gamma=90.00
Closest atoms and distances in Å follow each position.
Space group P-4m2 (No. 115)
Unique sites:
Nd 0.0000 0.5000 0.2463 [2 per cell]  8 Pt 3.44-3.54, 6 Sn 3.45-3.48, 2 Zn 3.48
Zn 0.5000 0.5000 0.0000 [1 per cell]  4 Pt 2.64
Sn 0.0000 0.0000 0.0000 [1 per cell]  4 Pt 2.64
Sn 0.0000 0.5000 0.6322 [2 per cell]  5 Pt 2.58-2.67
Pt 0.0000 0.0000 0.5000 [1 per cell]  4 Sn 2.67
Pt 0.0000 0.5000 0.8729 [2 per cell]  3 Sn 2.58-2.64, 2 Zn 2.64
Pt 0.5000 0.5000 0.5000 [1 per cell]  4 Sn 2.67

***

8.
## La4ZrPb (GGA-PBE)

Data for a relaxed structure of La4ZrPb.

Computed properties:
calculated formation energy = 0.29 eV per atom

Unit cell a=9.2130 b=9.2130 c=9.2130 alpha=90.00 beta=90.00 gamma=90.00
Closest atoms and distances in Å follow each position.
Space group F-43m (No. 216)
Unique sites:
La 0.1235 0.1235 0.3765 [16 per cell]  6 La 3.22-3.30
Zr 0.2500 0.2500 0.7500 [4 per cell]  12 La 3.82, 4 Pb 3.99
Pb 0.0000 0.0000 0.0000 [4 per cell]  12 La 3.82, 4 Zr 3.99

***

9.
## RbHfTeO5 (GGA-PBE)

Data for a relaxed structure of RbHfTeO5.

Computed properties:
VASP energy = -6.813 eV/atom

Unit cell a=7.6033 b=10.0820 c=7.8778 alpha=90.00 beta=114.43 gamma=90.00
Closest atoms and distances in Å follow each position.
Space group C2/c (No. 15)
Unique sites:
Rb 0.0000 0.1747 0.2500 [4 per cell]  7 O 2.80-2.95
Hf 0.0000 0.5000 0.0000 [4 per cell]  6 O 2.03-2.16
Te 0.0000 0.1890 0.7500 [4 per cell]  4 O 1.94-1.95
O 0.0000 0.4520 0.2500 [4 per cell]  2 Hf 2.03
O 0.0882 0.3024 0.6012 [8 per cell]  1 Te 1.94, 1 Hf 2.15
O 0.2080 0.0730 0.9103 [8 per cell]  1 Te 1.95, 1 Hf 2.16

***

10.
## La2HfThAs4 (GGA-PBE)

Data for a relaxed structure of La2HfThAs4.

Computed properties:
calculated formation energy = -1.36 eV per atom

Unit cell a=7.2328 b=4.1939 c=7.3313 alpha=90.00 beta=109.26 gamma=90.00
Closest atoms and distances in Å follow each position.
Space group P2/m (No. 10)
Unique sites:
La 0.0000 0.0000 0.0000 [1 per cell]  6 As 3.00
La 0.5000 0.5000 0.0000 [1 per cell]  6 As 3.12-3.13
Hf 0.0000 0.5000 0.5000 [1 per cell]  6 As 2.81-2.83
Th 0.5000 0.0000 0.5000 [1 per cell]  6 As 2.95
As 0.2278 0.0000 0.7245 [2 per cell]  2 Hf 2.83, 1 Th 2.95, 3 La 3.00-3.12
As 0.2405 0.5000 0.2670 [2 per cell]  1 Hf 2.81, 2 Th 2.95, 3 La 3.00-3.13

***

11.
## LaHS2N (GGA-PBE)

Data for a relaxed structure of LaHS2N.

Computed properties:
E above lowest polymorph = 4.12 eV per formula unit

Unit cell a=5.6999 b=5.6999 c=4.9786 alpha=90.00 beta=90.00 gamma=90.00
Closest atoms and distances in Å follow each position.
Space group P4/mmm (No. 123)
Unique sites:
La 0.0000 0.0000 0.0000 [1 per cell]  2 N 2.49
H 0.5000 0.5000 0.5000 [1 per cell]  8 S 3.78, 4 N 4.03
S 0.0000 0.5000 0.0000 [2 per cell]  2 La 2.85
N 0.0000 0.0000 0.5000 [1 per cell]  2 La 2.49

***

12.
## ZrAgB (GGA-PBE)

Data for a relaxed structure of ZrAgB.

Computed properties:
calculated formation energy = -0.25 eV per atom

Unit cell a=9.2168 b=3.4907 c=6.9533 alpha=90.00 beta=126.03 gamma=90.00
Closest atoms and distances in Å follow each position.
Space group C2/m (No. 12)
Unique sites:
Zr 0.0703 0.0000 0.3294 [4 per cell]  5 B 2.43-2.67
Ag 0.1892 0.5000 0.1054 [4 per cell]  2 B 2.48
B 0.1125 0.5000 0.6012 [4 per cell]  1 B 1.69